# 1
DFT (PBE) results for a geometry-optimized Cs2AcBe2O4 structure.

Cell: 3.801 10.752 6.740 Å, 102.68 106.38 90.00°
Sites, in units of the cell vectors:
Be: 0.311 0.031 0.623
Be: 0.689 0.969 0.377
O: 0.573 0.896 0.146
O: 0.427 0.104 0.854
O: 0.798 0.939 0.597
O: 0.202 0.061 0.403
Ac: 0.000 0.000 0.000
Cs: 0.164 0.704 0.327
Cs: 0.836 0.296 0.673

Crystal system = monoclinic
E_form (uncorrected) = -2135 meV/atom


# 2
DFT (PBE) results for a geometry-optimized Cs4Ac3BeO8 structure.

Cell: 7.265 7.885 7.740 Å, 112.17 117.99 90.00°
Site moments in Bohr magnetons follow the coordinates.
Sites, in units of the cell vectors:
Cs: 0.500 0.000 0.000  0.00
Cs: 0.000 0.000 0.500  0.00
Cs: 0.500 0.000 0.500  0.00
Cs: 0.000 0.000 0.000  0.00
O: 0.222 0.380 0.077  0.21
O: 0.292 0.729 0.584  0.01
O: 0.146 0.620 0.923  0.21
O: 0.298 0.323 0.595  0.00
O: 0.854 0.380 0.077  0.21
O: 0.778 0.620 0.923  0.21
O: 0.708 0.271 0.416  0.01
O: 0.702 0.677 0.405  0.00
Ac: 0.500 0.500 0.000  0.02
Ac: 0.000 0.500 0.500  0.00
Ac: 0.500 0.500 0.500  0.00
Be: 0.000 0.500 0.000  -0.01

Crystal system = monoclinic
E_form (uncorrected) = -2035 meV/atom


# 3
DFT (PBE) results for a geometry-optimized CsAcBeO3 structure.

Cell: 3.816 8.557 7.969 Å, 107.37 90.00 90.00°
Sites, in units of the cell vectors:
O: 0.250 0.878 0.479
O: 0.750 0.860 0.198
O: 0.750 0.461 0.142
O: 0.250 0.539 0.858
O: 0.250 0.140 0.802
O: 0.750 0.122 0.521
Ac: 0.750 0.343 0.816
Ac: 0.250 0.657 0.184
Cs: 0.750 0.813 0.779
Cs: 0.250 0.187 0.221
Be: 0.250 0.050 0.606
Be: 0.750 0.950 0.394

Crystal system = monoclinic
E_form (uncorrected) = -2481 meV/atom


The lowest E_form (uncorrected) belongs to which entry?
CsAcBeO3


Number 3 is which compound?
CsAcBeO3


Among the records above, which one has the highest E_form (uncorrected)?
Cs4Ac3BeO8


What is the formula in the first record?
Cs2AcBe2O4